Density functional theory data (PBE) for a geometry-optimized YMg3Cu2 structure.

Summary:
M_tot (μB/f.u.): 0.0
DOS at the Fermi energy (states/eV/cell): 7.5
V (Å³ per cell): 245.88
Uncorrected energy (eV per atom): -3.3337
Energy of formation from the pure elements (eV per atom): -0.094

extended XYZ file:
```
12
Lattice="-1.698 -0.194 -7.441 6.379 -2.862 3.068 -2.338 -4.514 0.651" Properties=species:S:1:pos:R:3 pbc="T T T"
Mg 0.426 -5.261 -4.685
Mg 1.917 -2.309 0.964
Mg -2.060 -3.638 -2.363
Mg 4.402 -3.931 -1.358
Mg 4.545 -3.577 1.605
Mg -2.202 -3.992 -5.327
Cu 3.847 -2.512 -3.594
Cu 2.678 -4.769 -3.269
Cu -0.336 -2.801 -0.453
Cu 0.833 -0.544 -0.778
Y 1.375 -5.174 -0.672
Y 0.967 -2.396 -3.050
```